[1]
First-principles (PBE) data for a relaxed structure of Tb2Pr5Sm2, as listed in the Alexandria database.

```
18
Lattice="-7.5962 5.9648 3.4694 7.5962 -5.9648 3.4694 7.5962 5.9648 -3.4694" Properties=species:S:1:pos:R:3 pbc="T T T"
Tb 1.9534 0.0819 0.0000
Tb 5.6428 0.0819 0.0000
Tb 1.9534 5.8829 3.4694
Tb 5.6428 5.8829 3.4694
Pr 8.3613 2.7842 -1.1776
Pr 6.8311 -3.1806 2.2918
Pr 11.3943 2.9033 1.0059
Pr 2.1894 3.2422 1.1301
Pr 5.4068 3.2422 1.1301
Pr -0.7651 3.1806 2.2918
Pr 8.3613 3.1806 2.2918
Pr -2.1894 8.6873 1.1301
Pr 2.1894 2.7226 4.5995
Pr -3.7981 3.0615 4.4753
Sm 3.7981 5.9039 -0.3764
Sm 3.7981 0.0609 3.0930
Sm 0.0000 0.0000 3.3360
Sm 7.5962 0.0000 3.3360
```

The total energy is -4.5275 eV per atom. As for the symmetry: Ima2. The calculated formation energy is 0.205 eV per atom. As for the polymorph energy (0 for the lowest one): 0.190 eV/atom.

=====

[2]
First-principles (PBE) data for a relaxed structure of Sm3Sn2I2, as listed in the Alexandria database.

```
7
Lattice="3.8567 0.0000 0.0000 1.9266 7.4427 0.0000 0.0085 1.4720 7.8425" Properties=species:S:1:pos:R:3 pbc="T T T"
Sm 0.0000 0.0000 0.0000
Sm 1.9330 4.3860 5.5377
Sm 3.8588 4.5287 2.3048
Sn 1.9308 6.8590 3.2362
Sn 3.8610 2.0557 4.6063
I 1.9288 2.3110 0.8641
I 3.8630 6.6037 6.9783
```

As for the energy relative to the elements, uncorrected: -0.653 eV/atom. The total energy is -4.2624 eV per atom. As for the symmetry: P-1.

=====

[3]
First-principles (PBE) data for a relaxed structure of Dy3Tm3Co4, as listed in the Alexandria database.

```
10
Lattice="4.1377 0.0000 0.0000 0.0000 5.0379 5.0502 0.0000 -5.0379 5.0502" Properties=species:S:1:pos:R:3 pbc="T T T"
Dy 0.0000 0.0000 0.0000
Dy 2.0688 -2.5164 5.8506
Dy 2.0688 2.5164 5.8506
Tm 0.0000 -1.7288 3.3245
Tm 0.0000 1.7288 3.3245
Tm 0.0000 0.0000 6.6224
Co 2.0688 0.0000 2.2274
Co 2.0688 0.0000 4.4812
Co 2.0688 -1.1303 8.3440
Co 2.0688 1.1303 8.3440
```

The total energy is -5.7402 eV per atom. As for the symmetry: Amm2. The calculated formation energy is -0.176 eV per atom.